# LiBeZnGa

An optimized crystal structure of LiBeZnGa (GGA-PBE, the Alexandria database).

```
data_LiBeZnGa
_chemical_formula_sum 'Li1 Be1 Zn1 Ga1'
_space_group_name_H-M_alt 'P 1'
_space_group_IT_number 1
_cell_length_a 4.171
_cell_length_b 4.171
_cell_length_c 4.171
_cell_angle_alpha 60.00
_cell_angle_beta 60.00
_cell_angle_gamma 60.00
loop_
_space_group_symop_operation_xyz
'x,y,z'
loop_
_atom_site_label
_atom_site_type_symbol
_atom_site_fract_x
_atom_site_fract_y
_atom_site_fract_z
_atom_site_occupancy
Be1 Be 0.000 0.000 0.000 1
Zn1 Zn 0.750 0.750 0.750 1
Ga1 Ga 0.250 0.250 0.250 1
Li1 Li 0.500 0.500 0.500 1
```

Computed properties:
VASP energy, eV per formula unit: -10.1



# CsLi2Ag

An optimized crystal structure of CsLi2Ag (GGA-PBE, the Alexandria database).

```
data_CsLi2Ag
_chemical_formula_sum 'Cs1 Li2 Ag1'
_space_group_name_H-M_alt 'P 1'
_space_group_IT_number 1
_cell_length_a 4.842
_cell_length_b 4.842
_cell_length_c 7.287
_cell_angle_alpha 70.60
_cell_angle_beta 70.60
_cell_angle_gamma 60.00
loop_
_space_group_symop_operation_xyz
'x,y,z'
loop_
_atom_site_label
_atom_site_type_symbol
_atom_site_fract_x
_atom_site_fract_y
_atom_site_fract_z
_atom_site_occupancy
Cs1 Cs 0.000 0.000 0.000 1
Ag1 Ag 0.500 0.500 0.500 1
Li1 Li 0.184 0.184 0.447 1
Li2 Li 0.816 0.816 0.553 1
```

Computed properties:
Distance to the lowest polymorph of the same formula, eV per atom: 0.000



# BeInPbCl5

An optimized crystal structure of BeInPbCl5 (GGA-PBE, the Alexandria database).

```
data_BeInPbCl5
_chemical_formula_sum 'Be2 In2 Pb2 Cl10'
_space_group_name_H-M_alt 'P 1'
_space_group_IT_number 1
_cell_length_a 7.474
_cell_length_b 7.474
_cell_length_c 10.117
_cell_angle_alpha 104.94
_cell_angle_beta 104.94
_cell_angle_gamma 105.35
loop_
_space_group_symop_operation_xyz
'x,y,z'
loop_
_atom_site_label
_atom_site_type_symbol
_atom_site_fract_x
_atom_site_fract_y
_atom_site_fract_z
_atom_site_occupancy
Be1 Be 0.688 0.312 0.250 1
Be2 Be 0.312 0.688 0.750 1
In1 In 0.356 0.644 0.250 1
In2 In 0.644 0.356 0.750 1
Pb1 Pb 0.000 0.000 0.500 1
Pb2 Pb 0.000 0.000 0.000 1
Cl1 Cl 0.104 0.896 0.250 1
Cl2 Cl 0.896 0.104 0.750 1
Cl3 Cl 0.904 0.334 0.158 1
Cl4 Cl 0.096 0.666 0.842 1
Cl5 Cl 0.666 0.096 0.342 1
Cl6 Cl 0.334 0.904 0.658 1
Cl7 Cl 0.748 0.573 0.413 1
Cl8 Cl 0.252 0.427 0.587 1
Cl9 Cl 0.427 0.252 0.087 1
Cl10 Cl 0.573 0.748 0.913 1
```

Computed properties:
Uncorrected formation energy, eV/atom: -1.152



# Ti16C5N3

An optimized crystal structure of Ti16C5N3 (GGA-PBE, the Alexandria database).

```
data_Ti16C5N3
_chemical_formula_sum 'Ti16 C5 N3'
_space_group_name_H-M_alt 'P 1'
_space_group_IT_number 1
_cell_length_a 6.039
_cell_length_b 6.039
_cell_length_c 9.870
_cell_angle_alpha 90.14
_cell_angle_beta 90.14
_cell_angle_gamma 60.01
loop_
_space_group_symop_operation_xyz
'x,y,z'
loop_
_atom_site_label
_atom_site_type_symbol
_atom_site_fract_x
_atom_site_fract_y
_atom_site_fract_z
_atom_site_occupancy
Ti1 Ti 0.326 0.834 0.408 1
Ti2 Ti 0.506 0.506 0.655 1
Ti3 Ti 0.669 0.669 0.898 1
Ti4 Ti 0.999 0.999 0.671 1
Ti5 Ti 0.998 0.998 0.173 1
Ti6 Ti 0.834 0.326 0.408 1
Ti7 Ti 0.508 0.988 0.658 1
Ti8 Ti 0.988 0.508 0.658 1
Ti9 Ti 0.162 0.162 0.911 1
Ti10 Ti 0.836 0.836 0.405 1
Ti11 Ti 0.013 0.495 0.157 1
Ti12 Ti 0.495 0.013 0.157 1
Ti13 Ti 0.335 0.335 0.397 1
Ti14 Ti 0.161 0.674 0.907 1
Ti15 Ti 0.494 0.494 0.159 1
Ti16 Ti 0.674 0.161 0.907 1
C1 C 0.334 0.833 0.784 1
C2 C 0.669 0.669 0.526 1
C3 C 0.833 0.334 0.784 1
C4 C 0.167 0.167 0.284 1
C5 C 0.336 0.336 0.027 1
N1 N 0.833 0.833 0.784 1
N2 N 0.166 0.666 0.284 1
N3 N 0.666 0.166 0.284 1
```

Computed properties:
Uncorrected formation energy, eV/atom: -0.871



# HfZrCrNi

An optimized crystal structure of HfZrCrNi (GGA-PBE, the Alexandria database).

```
data_HfZrCrNi
_chemical_formula_sum 'Hf1 Zr1 Cr1 Ni1'
_space_group_name_H-M_alt 'P 1'
_space_group_IT_number 1
_cell_length_a 4.527
_cell_length_b 4.527
_cell_length_c 4.527
_cell_angle_alpha 60.00
_cell_angle_beta 60.00
_cell_angle_gamma 60.00
loop_
_space_group_symop_operation_xyz
'x,y,z'
loop_
_atom_site_label
_atom_site_type_symbol
_atom_site_fract_x
_atom_site_fract_y
_atom_site_fract_z
_atom_site_occupancy
Ni1 Ni 0.250 0.250 0.250 1
Hf1 Hf 0.000 0.000 0.000 1
Zr1 Zr 0.500 0.500 0.500 1
Cr1 Cr 0.750 0.750 0.750 1
```

Computed properties:
VASP energy, eV per formula unit: -34.3



# Nd2Dy2In

An optimized crystal structure of Nd2Dy2In (GGA-PBE, the Alexandria database).

```
data_Nd2Dy2In
_chemical_formula_sum 'Nd2 Dy2 In1'
_space_group_name_H-M_alt 'P 1'
_space_group_IT_number 1
_cell_length_a 4.397
_cell_length_b 4.397
_cell_length_c 9.262
_cell_angle_alpha 103.73
_cell_angle_beta 103.73
_cell_angle_gamma 90.00
loop_
_space_group_symop_operation_xyz
'x,y,z'
loop_
_atom_site_label
_atom_site_type_symbol
_atom_site_fract_x
_atom_site_fract_y
_atom_site_fract_z
_atom_site_occupancy
Nd1 Nd 0.750 0.250 0.500 1
Nd2 Nd 0.250 0.750 0.500 1
Dy1 Dy 0.413 0.413 0.827 1
Dy2 Dy 0.587 0.587 0.173 1
In1 In 0.000 0.000 0.000 1
```

Computed properties:
VASP energy, eV per formula unit: -19.9



# TbPuZnO6

An optimized crystal structure of TbPuZnO6 (GGA-PBE, the Alexandria database).

```
data_TbPuZnO6
_chemical_formula_sum 'Tb1 Pu1 Zn1 O6'
_space_group_name_H-M_alt 'P 1'
_space_group_IT_number 1
_cell_length_a 4.492
_cell_length_b 5.641
_cell_length_c 5.641
_cell_angle_alpha 120.00
_cell_angle_beta 90.00
_cell_angle_gamma 90.00
loop_
_space_group_symop_operation_xyz
'x,y,z'
loop_
_atom_site_label
_atom_site_type_symbol
_atom_site_fract_x
_atom_site_fract_y
_atom_site_fract_z
_atom_site_occupancy
Tb1 Tb 0.500 0.667 0.333 1
Pu1 Pu 0.500 0.000 0.000 1
Zn1 Zn 0.000 0.333 0.667 1
O1 O 0.739 0.691 0.699 1
O2 O 0.739 0.301 0.991 1
O3 O 0.739 0.009 0.309 1
O4 O 0.261 0.301 0.309 1
O5 O 0.261 0.691 0.991 1
O6 O 0.261 0.009 0.699 1
```

Computed properties:
Uncorrected formation energy, eV/atom: -2.272



# FePRu2

An optimized crystal structure of FePRu2 (GGA-PBE, the Alexandria database).

```
data_FePRu2
_chemical_formula_sum 'Fe2 P2 Ru4'
_space_group_name_H-M_alt 'P 1'
_space_group_IT_number 1
_cell_length_a 5.231
_cell_length_b 5.231
_cell_length_c 6.333
_cell_angle_alpha 65.61
_cell_angle_beta 65.61
_cell_angle_gamma 90.00
loop_
_space_group_symop_operation_xyz
'x,y,z'
loop_
_atom_site_label
_atom_site_type_symbol
_atom_site_fract_x
_atom_site_fract_y
_atom_site_fract_z
_atom_site_occupancy
Ru1 Ru 0.627 0.125 0.250 1
Ru2 Ru 0.123 0.625 0.250 1
Ru3 Ru 0.375 0.373 0.750 1
Ru4 Ru 0.875 0.877 0.750 1
Fe1 Fe 0.000 0.000 0.000 1
Fe2 Fe 0.750 0.250 0.500 1
P1 P 0.500 0.500 0.000 1
P2 P 0.250 0.750 0.500 1
```

Computed properties:
VASP energy, eV per formula unit: -30.4



# CsBaCa

An optimized crystal structure of CsBaCa (GGA-PBE, the Alexandria database).

```
data_CsBaCa
_chemical_formula_sum 'Cs2 Ba2 Ca2'
_space_group_name_H-M_alt 'P 1'
_space_group_IT_number 1
_cell_length_a 4.742
_cell_length_b 4.738
_cell_length_c 19.118
_cell_angle_alpha 90.14
_cell_angle_beta 75.89
_cell_angle_gamma 89.95
loop_
_space_group_symop_operation_xyz
'x,y,z'
loop_
_atom_site_label
_atom_site_type_symbol
_atom_site_fract_x
_atom_site_fract_y
_atom_site_fract_z
_atom_site_occupancy
Cs1 Cs 0.129 0.747 0.617 1
Cs2 Cs 0.871 0.253 0.383 1
Ba1 Ba 0.573 0.752 0.180 1
Ba2 Ba 0.427 0.248 0.820 1
Ca1 Ca 0.797 0.750 0.952 1
Ca2 Ca 0.203 0.250 0.048 1
```

Computed properties:
Distance to the lowest polymorph of the same formula, eV per atom: 0.000



# Tl2SiRu

An optimized crystal structure of Tl2SiRu (GGA-PBE, the Alexandria database).

```
data_Tl2SiRu
_chemical_formula_sum 'Tl2 Si1 Ru1'
_space_group_name_H-M_alt 'P 1'
_space_group_IT_number 1
_cell_length_a 3.355
_cell_length_b 4.883
_cell_length_c 4.883
_cell_angle_alpha 90.00
_cell_angle_beta 90.00
_cell_angle_gamma 90.00
loop_
_space_group_symop_operation_xyz
'x,y,z'
loop_
_atom_site_label
_atom_site_type_symbol
_atom_site_fract_x
_atom_site_fract_y
_atom_site_fract_z
_atom_site_occupancy
Ru1 Ru 0.500 0.500 0.000 1
Si1 Si 0.500 0.000 0.500 1
Tl1 Tl 0.000 0.000 0.000 1
Tl2 Tl 0.000 0.500 0.500 1
```

Computed properties:
Distance to the lowest polymorph of the same formula, eV per atom: 0.711
Uncorrected formation energy, eV/atom: 0.753



# Y7Tm5

An optimized crystal structure of Y7Tm5 (GGA-PBE, the Alexandria database).

```
data_Y7Tm5
_chemical_formula_sum 'Y7 Tm5'
_space_group_name_H-M_alt 'P 1'
_space_group_IT_number 1
_cell_length_a 5.598
_cell_length_b 5.584
_cell_length_c 14.626
_cell_angle_alpha 101.01
_cell_angle_beta 90.00
_cell_angle_gamma 120.08
loop_
_space_group_symop_operation_xyz
'x,y,z'
loop_
_atom_site_label
_atom_site_type_symbol
_atom_site_fract_x
_atom_site_fract_y
_atom_site_fract_z
_atom_site_occupancy
Y1 Y 0.226 0.452 0.673 1
Y2 Y 0.774 0.548 0.327 1
Y3 Y 0.068 0.137 0.213 1
Y4 Y 0.932 0.863 0.787 1
Y5 Y 0.692 0.383 0.077 1
Y6 Y 0.500 0.000 0.500 1
Y7 Y 0.308 0.617 0.923 1
Tm1 Tm 0.146 0.293 0.441 1
Tm2 Tm 0.854 0.707 0.559 1
Tm3 Tm 0.395 0.790 0.191 1
Tm4 Tm 0.605 0.210 0.809 1
Tm5 Tm 0.000 0.000 0.000 1
```

Computed properties:
Distance to the lowest polymorph of the same formula, eV per atom: 0.185



# LaAg4Au4

An optimized crystal structure of LaAg4Au4 (GGA-PBE, the Alexandria database).

```
data_LaAg4Au4
_chemical_formula_sum 'La2 Ag8 Au8'
_space_group_name_H-M_alt 'P 1'
_space_group_IT_number 1
_cell_length_a 4.871
_cell_length_b 8.728
_cell_length_c 8.728
_cell_angle_alpha 90.00
_cell_angle_beta 90.00
_cell_angle_gamma 90.00
loop_
_space_group_symop_operation_xyz
'x,y,z'
loop_
_atom_site_label
_atom_site_type_symbol
_atom_site_fract_x
_atom_site_fract_y
_atom_site_fract_z
_atom_site_occupancy
La1 La 0.000 0.000 0.000 1
La2 La 0.500 0.500 0.500 1
Ag1 Ag 0.497 0.433 0.862 1
Ag2 Ag 0.997 0.638 0.933 1
Ag3 Ag 0.497 0.567 0.138 1
Ag4 Ag 0.003 0.067 0.638 1
Ag5 Ag 0.503 0.862 0.567 1
Ag6 Ag 0.003 0.933 0.362 1
Ag7 Ag 0.997 0.362 0.067 1
Ag8 Ag 0.503 0.138 0.433 1
Au1 Au 0.502 0.877 0.208 1
Au2 Au 0.502 0.123 0.792 1
Au3 Au 0.002 0.708 0.623 1
Au4 Au 0.998 0.377 0.708 1
Au5 Au 0.998 0.623 0.292 1
Au6 Au 0.498 0.208 0.123 1
Au7 Au 0.498 0.792 0.877 1
Au8 Au 0.002 0.292 0.377 1
```

Computed properties:
VASP energy, eV per formula unit: -31.1